[1]
Here is an optimized crystal structure of In12Hg3As5 from the Alexandria database. Energies are from PBE-GGA.

E, eV/atom: -2.816
DOS at the Fermi energy, states/eV/f.u.: 7.4
Size of the total moment, μB per formula unit: 0.00

a b c (Å): 14.531 14.531 14.531
angles (deg): 109.47 109.47 109.47
Element x y z (fractional)
In  0.055  0.229  0.131
In  0.055  0.327  0.925
In  0.075  0.631  0.402
In  0.075  0.945  0.673
In  0.098  0.729  0.673
In  0.098  0.869  0.425
In  0.131  0.055  0.229
In  0.131  0.575  0.902
In  0.173  0.229  0.598
In  0.173  0.445  0.575
In  0.229  0.131  0.055
In  0.229  0.598  0.173
In  0.271  0.327  0.902
In  0.271  0.445  0.369
In  0.327  0.902  0.271
In  0.327  0.925  0.055
In  0.369  0.271  0.445
In  0.369  0.598  0.925
In  0.402  0.075  0.631
In  0.402  0.827  0.771
In  0.425  0.098  0.869
In  0.425  0.827  0.555
In  0.445  0.369  0.271
In  0.445  0.575  0.173
In  0.555  0.425  0.827
In  0.555  0.631  0.729
In  0.575  0.173  0.445
In  0.575  0.902  0.131
In  0.598  0.173  0.229
In  0.598  0.925  0.369
In  0.631  0.402  0.075
In  0.631  0.729  0.555
In  0.673  0.075  0.945
In  0.673  0.098  0.729
In  0.729  0.555  0.631
In  0.729  0.673  0.098
In  0.771  0.402  0.827
In  0.771  0.869  0.945
In  0.827  0.555  0.425
In  0.827  0.771  0.402
In  0.869  0.425  0.098
In  0.869  0.945  0.771
In  0.902  0.131  0.575
In  0.902  0.271  0.327
In  0.925  0.055  0.327
In  0.925  0.369  0.598
In  0.945  0.673  0.075
In  0.945  0.771  0.869
Hg  0.125  0.250  0.375
Hg  0.125  0.375  0.750
Hg  0.250  0.375  0.125
Hg  0.250  0.875  0.625
Hg  0.375  0.125  0.250
Hg  0.375  0.750  0.125
Hg  0.625  0.250  0.875
Hg  0.625  0.875  0.750
Hg  0.750  0.125  0.375
Hg  0.750  0.625  0.875
Hg  0.875  0.625  0.250
Hg  0.875  0.750  0.625
As  0.000  0.000  0.000
As  0.000  0.000  0.500
As  0.000  0.500  0.000
As  0.000  0.500  0.500
As  0.125  0.750  0.875
As  0.125  0.875  0.250
As  0.250  0.125  0.875
As  0.250  0.625  0.375
As  0.375  0.250  0.625
As  0.375  0.625  0.750
As  0.500  0.000  0.000
As  0.500  0.000  0.500
As  0.500  0.500  0.000
As  0.500  0.500  0.500
As  0.625  0.375  0.250
As  0.625  0.750  0.375
As  0.750  0.375  0.625
As  0.750  0.875  0.125
As  0.875  0.125  0.750
As  0.875  0.250  0.125

---

[2]
Here is an optimized crystal structure of InHgAs2 from the Alexandria database. Energies are from PBE-GGA.

E, eV/atom: -3.031
DOS at the Fermi energy, states/eV/f.u.: 2.6
Size of the total moment, μB per formula unit: 0.00

a b c (Å): 7.509 7.509 7.509
angles (deg): 131.16 131.16 71.56
Element x y z (fractional)
In  0.000  0.000  0.000
In  0.750  0.250  0.500
Hg  0.250  0.750  0.500
Hg  0.500  0.500  0.000
As  0.126  0.625  0.001
As  0.375  0.376  0.501
As  0.624  0.125  0.999
As  0.875  0.874  0.499

---

Repeat the second record exactly.
Here is an optimized crystal structure of InHgAs2 from the Alexandria database. Energies are from PBE-GGA.

E, eV/atom: -3.031
DOS at the Fermi energy, states/eV/f.u.: 2.6
Size of the total moment, μB per formula unit: 0.00

a b c (Å): 7.509 7.509 7.509
angles (deg): 131.16 131.16 71.56
Element x y z (fractional)
In  0.000  0.000  0.000
In  0.750  0.250  0.500
Hg  0.250  0.750  0.500
Hg  0.500  0.500  0.000
As  0.126  0.625  0.001
As  0.375  0.376  0.501
As  0.624  0.125  0.999
As  0.875  0.874  0.499